1.
Material: OsAu2Br
Method: DFT, GGA-PBE
State: relaxed

Cell and atoms, written as extended XYZ:
```
4
Lattice="5.488 0.000 0.000 0.000 2.734 0.000 -2.612 0.000 4.848" Properties=species:S:1:pos:R:3 pbc="T T T"
Os 0.000 0.000 0.000
Au -1.306 1.367 2.424
Au 2.744 1.367 0.000
Br 1.438 0.000 2.424
```

Summary:
symmetry: P2/m
uncorrected formation energy: 0.956 eV per atom
total DFT energy (no corrections): -3.91 eV/atom


2.
Material: YSi2P
Method: DFT, GGA-PBE
State: relaxed

Cell and atoms, written as extended XYZ:
```
4
Lattice="3.590 0.000 0.000 0.000 3.590 0.000 0.000 0.000 5.660" Properties=species:S:1:pos:R:3 pbc="T T T"
Y 0.000 0.000 0.000
Si 0.000 0.000 2.813
Si 1.795 1.795 3.840
P 1.795 1.795 1.514
```

Summary:
symmetry: P4mm
uncorrected formation energy: -0.272 eV per atom
total DFT energy (no corrections): -5.95 eV/atom


3.
Material: Ni4Rh
Method: DFT, GGA-PBE
State: relaxed

Cell and atoms, written as extended XYZ:
```
10
Lattice="4.355 0.000 0.000 0.000 7.491 0.000 0.000 0.000 4.005" Properties=species:S:1:pos:R:3 pbc="T T T"
Ni 0.036 1.217 0.000
Ni 0.835 2.433 2.003
Ni 1.343 6.179 2.003
Ni 2.142 4.963 0.000
Ni 2.213 2.529 0.000
Ni 3.012 1.313 2.003
Ni 3.520 5.058 2.003
Ni 4.319 6.275 0.000
Rh 0.000 3.746 0.000
Rh 2.177 0.000 0.000
```

Summary:
symmetry: Pbam
energy of formation from the pure elements: 322 meV per atom
total DFT energy (no corrections): -5.77 eV/atom


4.
Material: AlAgPb
Method: DFT, GGA-PBE
State: relaxed

Cell and atoms, written as extended XYZ:
```
6
Lattice="3.443 0.000 0.000 0.026 4.664 0.000 0.039 1.555 8.399" Properties=species:S:1:pos:R:3 pbc="T T T"
Al 0.882 1.996 4.100
Al 2.627 4.223 4.299
Ag 0.916 5.105 6.251
Ag 2.592 1.113 2.148
Pb 0.882 3.453 1.084
Pb 2.626 2.766 7.315
```

Summary:
symmetry: P-1
energy of formation from the pure elements: 93 meV per atom
total DFT energy (no corrections): -3.34 eV/atom